Entry 1:
A plane-wave DFT calculation with PBE was carried out for an optimized crystal structure of ErMgGeRh.

Cell and atoms, written as POSCAR:
```
ErMgGeRh
1.0
0.000 3.342 3.342
3.342 0.000 3.342
3.342 3.342 0.000
Er Mg Ge Rh
1 1 1 1
Direct
0.000 0.000 0.000 Er
0.500 0.500 0.500 Mg
0.250 0.250 0.250 Ge
0.750 0.750 0.750 Rh
```

D(E_F)   1.02 states/eV per cell
Symmetry   F-43m
Magnetic moment   0.000 μB per cell
E   -5.097 eV/atom



Entry 2:
A plane-wave DFT calculation with PBE was carried out for an optimized crystal structure of Hf3AgMo.

Cell and atoms, written as POSCAR:
```
Hf3AgMo
1.0
4.986 0.000 0.000
0.000 4.986 0.000
0.000 0.000 4.986
Hf Ag Mo
3 1 1
Direct
0.000 0.000 0.500 Hf
0.000 0.500 0.000 Hf
0.500 0.000 0.000 Hf
0.000 0.000 0.000 Ag
0.500 0.500 0.500 Mo
```

D(E_F)   8.18 states/eV per cell
Symmetry   Pm-3m
Magnetic moment   0.098 μB per cell
E   -7.219 eV/atom